This record from the Alexandria database describes crystalline HfMn2FeO6 at its relaxed geometry. The functional is PBE with a Hubbard U.

abc: 5.1538 5.2286 5.4792
angles: 63.09 89.07 61.44
Space group P1 (No. 1)
Inequivalent atoms, fractional coordinates:
Hf  0.0000  0.0000  0.0000 x1
Mn  0.2132  0.5751  0.6148 x1
Mn  0.7014  0.5931  0.1028 x1
Fe  0.4943  0.0184  0.4823 x1
O  0.0746  0.5129  0.3149 x1
O  0.3143  0.7658  0.8167 x1
O  0.4088  0.7615  0.3211 x1
O  0.6104  0.0635  0.8397 x1
O  0.7988  0.1321  0.2988 x1
O  0.9379  0.4695  0.8285 x1



This record from the Alexandria database describes crystalline HfMnFe2O6 at its relaxed geometry. The functional is PBE with a Hubbard U.

abc: 5.1522 5.1868 5.4605
angles: 116.40 90.38 118.19
Space group P1 (No. 1)
Inequivalent atoms, fractional coordinates:
Hf  0.0000  0.0000  0.0000 x1
Mn  0.5029  0.0122  0.5172 x1
Fe  0.3100  0.6154  0.9191 x1
Fe  0.7949  0.5776  0.3829 x1
O  0.0991  0.4818  0.1780 x1
O  0.2394  0.1452  0.7234 x1
O  0.3897  0.0838  0.2119 x1
O  0.5825  0.8090  0.7167 x1
O  0.6950  0.8106  0.2139 x1
O  0.9295  0.5180  0.7108 x1



DFT total energy values, unit eV/atom, following the record order: -7.9855; -7.7291.